This record from OQMD via LeMat-Bulk describes a relaxed structure of MgAgAsO. The functional is PBE-GGA.

Cell and atoms, written as CIF:
```
data_MgAgAsO
_cell_length_a 3.242
_cell_length_b 7.584
_cell_length_c 5.481
_cell_angle_alpha 90.00
_cell_angle_beta 90.00
_cell_angle_gamma 90.00
_symmetry_space_group_name_H-M 'P 1'
_symmetry_Int_Tables_number 1
_symmetry_space_group_name_Hall 'P 1'
loop_
_atom_site_label
_atom_site_type_symbol
_atom_site_fract_x
_atom_site_fract_y
_atom_site_fract_z
Mg1 Mg 0.000 0.187 0.000
Mg2 Mg 0.000 0.813 0.500
Ag1 Ag 0.500 0.191 0.461
Ag2 Ag 0.500 0.809 0.961
As1 As 0.000 0.456 0.397
As2 As 0.000 0.544 0.897
O1 O 0.500 0.099 0.872
O2 O 0.500 0.901 0.372
```

E, eV per atom: -4.28
Energy relative to the lowest polymorph listed for this composition, meV per atom: 87